Computed, not measured: an optimized crystal structure of Tb2YTm at the PBE-GGA level of DFT.

The total magnetic moment is 0.00 μB/f.u. The value obtained for the density of states at the Fermi level is 5.44 states/eV/f.u. Its electronic total energy is -5.04 eV per atom. For the energy relative to the lowest polymorph listed for this composition, the calculation gives 0 meV per atom. The formation energy comes out at 0.01 eV/atom.

Geometry as CIF:
```
data_Tb2YTm
_cell_length_a 3.564
_cell_length_b 11.470
_cell_length_c 12.343
_cell_angle_alpha 90.00
_cell_angle_beta 90.00
_cell_angle_gamma 90.00
_symmetry_space_group_name_H-M 'P 21 21 21'
_symmetry_Int_Tables_number 19
loop_
_symmetry_equiv_pos_as_xyz
'x,y,z'
'-x+1/2,-y,z+1/2'
'x+1/2,-y+1/2,-z'
'-x,y+1/2,-z+1/2'
loop_
_atom_site_label
_atom_site_fract_x
_atom_site_fract_y
_atom_site_fract_z
Tb1 0.250 0.001 0.208
Tb2 0.250 0.498 0.042
Y1 0.249 0.750 0.874
Tm1 0.249 0.750 0.376
```